Entry 1:
A relaxed structure of K3GeAu2. Source: Alexandria, functional PBE.

Geometry as extended XYZ:
```
24
Lattice="-7.484 -2.370 2.021 -2.299 -2.041 -10.907 7.316 -7.936 -0.057" Properties=species:S:1:pos:R:3 pbc="T T T"
K 0.566 -5.261 -4.648
K 4.832 -6.730 -2.803
K -7.299 -5.616 -6.141
K -4.293 -8.909 -7.812
K -3.952 -2.823 -10.039
K 0.062 -8.434 -7.365
K 1.485 -9.523 1.095
K 1.827 -3.438 -1.131
K -3.032 -7.085 -4.295
K -3.603 -3.217 -5.915
K 1.136 -9.130 -3.028
K -2.529 -3.913 -1.578
Au 2.907 -6.578 0.108
Au 2.976 -7.708 -5.582
Au -1.805 -5.756 -7.141
Au -1.979 -10.989 -6.588
Au -5.443 -4.639 -3.361
Au -5.374 -5.768 -9.051
Au -0.488 -1.358 -2.355
Au -0.662 -6.591 -1.802
Ge -2.806 -6.129 -9.469
Ge -1.961 -10.458 -4.083
Ge -0.505 -1.889 -4.861
Ge 0.339 -6.218 0.526
```

N(E_F): 2.95 states/eV/f.u.
ΔE_f: -0.181 eV/atom
magnetic moment: 0.0000 μB/atom



Entry 2:
A relaxed structure of Ce4C3O. Source: Alexandria, functional PBE.

Geometry as extended XYZ:
```
8
Lattice="-4.619 1.437 1.759 -0.092 -4.101 3.109 4.631 4.099 1.283" Properties=species:S:1:pos:R:3 pbc="T T T"
C -1.172 2.102 2.738
C -2.355 -1.332 2.434
C 1.092 -0.667 3.413
Ce 1.135 1.380 1.854
Ce -1.215 0.054 4.296
Ce -2.310 0.718 0.879
Ce -0.046 -2.050 1.555
O 0.000 0.000 0.000
```

N(E_F): 8.89 states/eV/f.u.
magnetic moment: 0.0002 μB/atom
formation energy without anion corrections: -0.84 eV per atom



Entry 3:
A relaxed structure of LaEuAsPt. Source: Alexandria, functional PBE.

Geometry as extended XYZ:
```
4
Lattice="5.204 0.000 0.000 2.602 4.507 0.000 2.602 1.502 4.249" Properties=species:S:1:pos:R:3 pbc="T T T"
Eu 5.204 3.004 2.124
La 0.000 0.000 0.000
As 7.806 4.507 3.187
Pt 2.602 1.502 1.062
```

ΔE_f: -1.097 eV/atom
magnetic moment: 1.7517 μB/atom



Entry 4:
A relaxed structure of La2HoTlO6. Source: Alexandria, functional PBE.

Geometry as extended XYZ:
```
10
Lattice="6.024 0.000 0.000 3.012 5.217 0.000 3.012 1.739 5.118" Properties=species:S:1:pos:R:3 pbc="T T T"
O 8.305 3.658 1.359
O 5.039 1.413 1.358
O 7.058 4.921 3.873
O 6.757 1.861 3.874
O 4.257 3.652 3.873
O 4.727 5.363 1.358
La 3.012 1.739 4.597
La 6.024 3.478 2.078
Ho 9.036 5.217 2.920
Tl 3.012 1.739 0.379
```

N(E_F): 0.00 states/eV/f.u.
magnetic moment: 0.0000 μB/atom
formation energy without anion corrections: -2.76 eV per atom



Entry 5:
A relaxed structure of Cd5Pt3. Source: Alexandria, functional PBE.

Geometry as extended XYZ:
```
16
Lattice="8.003 0.016 0.012 -6.151 5.121 0.012 -0.911 -2.526 7.481" Properties=species:S:1:pos:R:3 pbc="T T T"
Cd 3.012 1.747 1.071
Cd -4.929 1.898 6.442
Cd -0.110 2.893 2.273
Cd 1.005 -0.412 2.261
Cd 5.873 0.715 1.071
Cd -0.064 3.026 5.250
Cd 1.054 -0.280 5.238
Cd 4.007 0.023 3.475
Cd -2.071 0.867 6.442
Cd -3.065 2.588 4.037
Pt 2.156 2.149 3.763
Pt 3.680 -0.883 6.223
Pt -1.214 0.462 3.750
Pt 1.389 3.855 0.021
Pt 0.465 1.286 0.008
Pt -2.738 3.494 1.290
```

N(E_F): 2.33 states/eV/f.u.
ΔE_f: -0.259 eV/atom
magnetic moment: 0.0000 μB/atom



Entry 6:
A relaxed structure of Ge2Pd13. Source: Alexandria, functional PBE.

Geometry as extended XYZ:
```
15
Lattice="5.014 -0.177 0.705 -0.857 6.525 0.253 0.453 -2.880 6.970" Properties=species:S:1:pos:R:3 pbc="T T T"
Pd 3.772 -1.137 2.963
Pd 4.521 1.707 2.811
Pd 1.346 -0.126 6.872
Pd 0.000 0.000 0.000
Pd 2.318 2.662 6.559
Pd 2.737 0.692 4.716
Pd 2.293 0.806 1.370
Pd 0.090 1.761 5.118
Pd 4.145 -1.201 6.024
Pd 3.265 3.594 1.057
Pd 1.873 2.776 3.213
Pd 0.838 4.605 4.965
Pd 0.465 4.669 1.905
Ge 0.812 0.080 3.299
Ge 3.799 3.388 4.629
```

N(E_F): 15.39 states/eV/f.u.
ΔE_f: -0.218 eV/atom
magnetic moment: 0.0000 μB/atom



Entry 7:
A relaxed structure of Er8Ni2Pb. Source: Alexandria, functional PBE.

Geometry as extended XYZ:
```
11
Lattice="-3.046 2.047 3.821 -1.098 -7.592 1.771 6.881 2.875 2.525" Properties=species:S:1:pos:R:3 pbc="T T T"
Pb -1.523 1.023 1.911
Ni 1.340 -4.394 2.001
Ni 4.443 -0.323 2.295
Er 2.585 -2.240 3.743
Er 0.757 -3.218 6.833
Er -0.086 -2.162 1.089
Er -0.626 -3.952 3.870
Er 1.979 0.548 1.284
Er 2.822 -0.508 7.028
Er 3.363 1.281 4.247
Er 0.151 -0.430 4.374
```

N(E_F): 14.31 states/eV/f.u.
ΔE_f: -0.202 eV/atom
magnetic moment: 0.0353 μB/atom



Entry 8:
A relaxed structure of YRhPb3. Source: Alexandria, functional PBE.

Geometry as extended XYZ:
```
5
Lattice="5.301 0.000 0.000 0.000 5.301 0.000 0.000 0.000 5.301" Properties=species:S:1:pos:R:3 pbc="T T T"
Pb 0.000 0.000 2.651
Pb 0.000 2.651 0.000
Pb 2.651 0.000 0.000
Rh 0.000 0.000 0.000
Y 2.651 2.651 2.651
```

N(E_F): 1.84 states/eV/f.u.
ΔE_f: 0.095 eV/atom
magnetic moment: 0.0000 μB/atom